Li3ZrAu, PBEsol geometry, DFT SCAN; space-group type = No. 221; total energy = -105.810 eV/cell; formation energy = 243 meV per atom
1.0
4.563 0.000 0.000
0.000 4.563 0.000
0.000 0.000 4.563
Au Zr Li
1 1 3
Cartesian
0.000 0.000 0.000 Au
2.282 2.282 2.282 Zr
0.000 2.282 0.000 Li
0.000 0.000 2.282 Li
2.282 0.000 0.000 Li

KZr2Mo, PBEsol geometry, DFT SCAN; energy above the most stable polymorph in this dataset = 0.0 kJ/mol of atoms; space-group type = No. 99; total energy = -101.933 eV/cell; formation energy = 670 meV per atom
1.0
-0.713 -0.648 3.319
-2.600 -2.064 -0.962
5.538 -6.904 -0.157
K Mo Zr
1 1 2
Cartesian
2.940 -3.665 -0.083 K
2.986 -7.143 1.047 Mo
5.379 -6.706 -0.153 Zr
-0.774 -2.456 1.154 Zr

LiTcRh, PBEsol geometry, DFT SCAN; energy above the most stable polymorph in this dataset = 0.0 kJ/mol of atoms; space-group type = No. 44; total energy = -71.111 eV/cell; formation energy = 37 meV per atom
1.0
-0.784 -2.507 0.341
1.432 0.036 3.555
-3.671 2.465 -0.612
Li Rh Tc
1 1 1
Cartesian
-0.015 0.005 0.006 Li
-0.808 -0.820 2.400 Rh
-2.200 0.808 0.878 Tc

Y2AlIr, PBEsol geometry, DFT SCAN; space-group type = No. 216; total energy = -136.926 eV/cell; formation energy = -597 meV per atom
1.0
4.773 0.000 0.000
2.387 4.134 0.000
2.387 1.378 3.897
Y Ir Al
2 1 1
Cartesian
0.000 0.000 0.000 Y
7.160 4.134 2.923 Y
2.387 1.378 0.974 Ir
4.773 2.756 1.949 Al

AlCrIr2, PBEsol geometry, DFT SCAN; space-group type = No. 35; total energy = -168.415 eV/cell; formation energy = -20 meV per atom
1.0
-0.391 -2.636 -0.170
1.590 0.879 1.956
-6.812 0.673 5.234
Cr Ir Al
1 2 1
Cartesian
-1.122 -0.708 2.216 Cr
-0.112 0.011 0.086 Ir
-4.410 -0.383 4.742 Ir
-3.376 0.334 2.594 Al

LiCo2Mo, PBEsol geometry, DFT SCAN; energy above the most stable polymorph in this dataset = 7.7 kJ/mol of atoms; space-group type = No. 166; total energy = -70.446 eV/cell; formation energy = 359 meV per atom
1.0
2.616 0.000 0.000
1.308 2.265 0.000
1.308 0.755 8.385
Co Li Mo
2 1 1
Cartesian
1.308 0.755 2.059 Co
3.923 2.265 6.325 Co
2.616 1.510 4.192 Li
0.000 0.000 0.000 Mo

BeSeBr4, PBEsol geometry, DFT SCAN; uncorrected formation energy = 1.190 eV/atom; space-group type = No. 216; total energy = -95.128 eV/cell
1.0
5.984 0.000 0.000
2.992 5.182 0.000
2.992 1.727 4.886
Be Se Br
1 1 4
Cartesian
0.000 0.000 0.000 Be
8.976 5.182 3.664 Se
4.489 2.592 1.833 Br
5.984 3.455 4.274 Br
7.479 2.592 1.833 Br
5.984 5.181 1.833 Br

CaHfSe2, PBEsol geometry, DFT SCAN; uncorrected formation energy = -1.112 eV/atom; energy above the most stable polymorph in this dataset = 0.0 kJ/mol of atoms; space-group type = No. 122; total energy = -233.880 eV/cell
1.0
-4.681 -0.626 -4.089
-3.608 -2.402 4.498
2.202 7.017 1.176
Ca Hf Se
2 2 4
Cartesian
-3.312 2.438 -1.354 Ca
-4.144 -1.514 0.205 Ca
-2.775 1.550 2.940 Hf
0.000 0.000 0.000 Hf
-4.217 -0.563 2.823 Se
-5.043 0.286 -1.723 Se
0.727 4.959 0.794 Se
-3.641 3.296 1.277 Se

MnCl2, PBEsol geometry, DFT SCAN; uncorrected formation energy = -1.555 eV/atom; space-group type = No. 58; total energy = -77.750 eV/cell
1.0
3.684 0.000 0.000
0.000 5.760 0.000
0.000 0.000 6.086
Mn Cl
2 4
Cartesian
0.000 0.000 0.000 Mn
1.842 2.880 3.043 Mn
0.000 1.553 4.048 Cl
0.000 4.208 2.038 Cl
1.842 4.433 5.081 Cl
1.842 1.328 1.005 Cl

In2SbTe, PBEsol geometry, DFT SCAN; uncorrected formation energy = 0.143 eV/atom; energy above the most stable polymorph in this dataset = 5.6 kJ/mol of atoms; space-group type = No. 99; total energy = -140.711 eV/cell
1.0
-2.006 -1.878 -1.828
1.567 -2.704 1.058
-6.319 -0.676 7.630
In Sb Te
2 1 1
Cartesian
-0.052 -0.006 0.062 In
-1.777 -2.458 1.495 In
-2.975 -0.318 3.592 Sb
-5.115 -2.815 5.526 Te

HfTaFe4, PBEsol geometry, DFT SCAN; space-group type = No. 164; total energy = -405.039 eV/cell; formation energy = -124 meV per atom
1.0
-3.725 -0.917 2.764
2.035 -3.489 -2.458
4.821 -1.432 6.023
Hf Ta Fe
2 2 8
Cartesian
2.847 -3.443 2.696 Hf
0.284 -2.394 3.633 Hf
-1.496 -1.866 1.409 Ta
4.627 -3.971 4.919 Ta
2.411 -0.716 3.011 Fe
0.000 0.000 0.000 Fe
2.719 -1.986 5.069 Fe
1.891 -4.144 5.219 Fe
0.894 -2.435 6.424 Fe
0.412 -3.852 1.260 Fe
1.240 -1.693 1.110 Fe
2.237 -3.402 -0.095 Fe

MgIn2Ag, PBEsol geometry, DFT SCAN; space-group type = No. 12; total energy = -103.357 eV/cell; formation energy = -61 meV per atom
1.0
-1.668 -0.478 -2.876
3.429 -3.646 0.579
-4.258 -2.004 2.803
Mg Ag In
1 1 2
Cartesian
-0.834 -0.239 -1.438 Mg
-2.129 -1.002 1.401 Ag
-2.723 -3.619 0.219 In
0.225 -2.510 0.286 In

Cd2SeS, PBEsol geometry, DFT SCAN; uncorrected formation energy = -0.729 eV/atom; space-group type = No. 122; total energy = -186.899 eV/cell
1.0
5.957 0.000 0.000
0.000 5.957 0.000
-2.979 -2.979 5.943
S Se Cd
2 2 4
Cartesian
2.979 0.000 2.971 S
2.979 2.979 0.000 S
0.000 2.979 2.971 Se
0.000 0.000 0.000 Se
1.578 4.468 1.486 Cd
4.379 1.489 1.486 Cd
-1.489 -1.401 4.457 Cd
1.489 1.401 4.457 Cd

La2CdTc, PBEsol geometry, DFT SCAN; space-group type = No. 44; total energy = -151.587 eV/cell; formation energy = 24 meV per atom
1.0
-2.857 1.851 0.693
-1.310 -3.393 3.664
4.874 3.693 1.525
Cd La Tc
1 2 1
Cartesian
1.124 1.177 1.492 Cd
1.347 3.831 4.030 La
-0.407 0.984 4.403 La
-1.423 0.931 0.354 Tc

OsBr2Cl, PBEsol geometry, DFT SCAN; uncorrected formation energy = -0.004 eV/atom; energy above the most stable polymorph in this dataset = 0.0 kJ/mol of atoms; space-group type = No. 38; total energy = -118.793 eV/cell
1.0
-1.485 -1.042 3.157
2.821 -3.918 0.033
2.857 5.056 3.012
Os Br Cl
1 2 1
Cartesian
1.534 1.131 3.194 Os
1.056 0.766 0.749 Br
2.558 -1.109 2.937 Br
3.314 2.406 2.352 Cl

CoSiRh2, PBEsol geometry, DFT SCAN; uncorrected formation energy = -0.277 eV/atom; space-group type = No. 166; total energy = -95.972 eV/cell
1.0
2.715 0.000 0.000
1.357 2.351 0.000
1.357 0.784 7.888
Co Rh Si
1 2 1
Cartesian
0.000 0.000 0.000 Co
1.357 0.784 2.088 Rh
4.072 2.351 5.801 Rh
2.715 1.567 3.944 Si

CdGeC2, PBEsol geometry, DFT SCAN; space-group type = No. 122; total energy = -129.179 eV/cell; formation energy = 1278 meV per atom
1.0
-4.276 -2.514 -0.604
4.787 -2.948 -0.946
1.361 -3.181 3.605
Ge C Cd
2 4 2
Cartesian
1.665 -2.898 0.277 Ge
-1.457 -2.847 1.501 Ge
4.040 -5.430 2.340 C
1.635 -4.853 0.295 C
-0.171 -2.232 0.162 C
-1.760 -4.771 1.314 C
0.208 -5.745 1.778 Cd
0.000 0.000 0.000 Cd

Ag2Mo, PBEsol geometry, DFT SCAN; energy above the most stable polymorph in this dataset = 0.0 kJ/mol of atoms; space-group type = No. 191; total energy = -95.697 eV/cell; formation energy = 641 meV per atom
1.0
-1.176 0.392 -2.316
-4.012 -1.270 1.823
1.272 4.406 0.099
Ag Mo
2 1
Cartesian
-2.251 0.622 1.249 Ag
-0.489 2.514 0.674 Ag
-0.588 0.196 -1.158 Mo

HgPb2Au, PBEsol geometry, DFT SCAN; energy above the most stable polymorph in this dataset = 7.7 kJ/mol of atoms; space-group type = No. 44; total energy = -288.747 eV/cell; formation energy = 35 meV per atom
1.0
-1.489 -0.771 3.243
-4.215 -1.605 -2.317
4.860 -3.730 -0.710
Pb Au Hg
2 1 1
Cartesian
-0.851 -6.089 0.217 Pb
0.379 -3.136 1.483 Pb
-2.838 -1.223 0.461 Au
-1.230 -2.952 -1.266 Hg

Ti3PRu, PBEsol geometry, DFT SCAN; space-group type = No. 221; total energy = -91.617 eV/cell; formation energy = 339 meV per atom
1.0
-3.345 3.098 -0.246
-2.300 -2.711 -2.865
-2.090 -1.975 3.547
Ru P Ti
1 1 3
Cartesian
0.000 0.000 0.000 Ru
-3.868 -0.794 0.218 P
-1.150 -1.356 -1.432 Ti
-1.045 -0.987 1.774 Ti
-1.673 1.549 -0.123 Ti

K2GaRuF, PBEsol geometry, DFT SCAN; uncorrected formation energy = -0.040 eV/atom; space-group type = No. 123; total energy = -71.569 eV/cell
1.0
-1.252 -3.377 -2.869
-2.556 -3.097 4.760
-5.420 2.887 -1.032
Ru K Ga F
1 2 1 1
Cartesian
-0.626 -1.688 -1.435 Ru
-2.710 1.444 -0.516 K
-1.278 -1.548 2.380 K
0.000 0.000 0.000 Ga
-4.614 -1.793 0.429 F

ScMnI3, PBEsol geometry, DFT SCAN; uncorrected formation energy = -0.431 eV/atom; space-group type = No. 221; total energy = -144.870 eV/cell
1.0
-4.677 -0.465 3.112
0.222 -5.610 -0.503
3.138 -0.295 4.673
I Sc Mn
3 1 1
Cartesian
0.111 -2.805 -0.252 I
1.569 -0.147 2.336 I
-2.338 -0.232 1.556 I
0.000 0.000 0.000 Sc
-0.658 -3.185 3.641 Mn

Y2Mn, PBEsol geometry, DFT SCAN; space-group type = No. 63; total energy = -147.109 eV/cell; formation energy = 129 meV per atom
1.0
-2.712 -1.469 1.552
0.124 -3.965 -3.536
6.344 -3.396 4.030
Mn Y
2 4
Cartesian
2.220 -2.804 1.225 Mn
1.536 -6.026 0.821 Mn
2.304 -4.730 3.388 Y
-0.675 -2.264 0.518 Y
4.432 -6.567 1.528 Y
1.453 -4.100 -1.342 Y

K2LiMn, PBEsol geometry, DFT SCAN; energy above the most stable polymorph in this dataset = 3.7 kJ/mol of atoms; space-group type = No. 166; total energy = -35.167 eV/cell; formation energy = 534 meV per atom
1.0
3.699 0.000 0.000
1.849 3.203 0.000
1.849 1.068 12.254
K Li Mn
2 1 1
Cartesian
1.849 1.068 2.906 K
5.548 3.203 9.347 K
3.699 2.136 6.127 Li
0.000 0.000 0.000 Mn

YSi2Ru2, PBEsol geometry, DFT SCAN; uncorrected formation energy = -1.012 eV/atom; space-group type = No. 139; total energy = -122.589 eV/cell
1.0
-0.057 3.481 2.227
1.705 -2.009 3.184
3.501 0.370 -4.323
Y Ru Si
1 2 2
Cartesian
0.000 0.000 0.000 Y
3.015 -0.452 0.783 Ru
2.134 2.293 0.304 Ru
3.192 0.816 -1.194 Si
1.957 1.025 2.281 Si

TaAg2Ir, PBEsol geometry, DFT SCAN; energy above the most stable polymorph in this dataset = 6.6 kJ/mol of atoms; space-group type = No. 119; total energy = -200.021 eV/cell; formation energy = 99 meV per atom
1.0
-1.707 0.796 3.559
-3.633 -0.715 -1.583
2.978 -3.788 -0.003
Ir Ag Ta
1 2 1
Cartesian
-2.670 0.040 0.988 Ir
0.000 0.000 0.000 Ag
-0.700 -1.476 2.272 Ag
-1.662 -2.231 -0.299 Ta

La2Y, PBEsol geometry, DFT SCAN; energy above the most stable polymorph in this dataset = 17.9 kJ/mol of atoms; space-group type = No. 227; total energy = -226.897 eV/cell; formation energy = 202 meV per atom
1.0
6.581 0.000 0.000
3.290 5.699 0.000
3.290 1.900 5.373
La Y
4 2
Cartesian
4.935 4.749 3.358 La
8.226 4.749 3.358 La
6.581 3.799 0.672 La
6.581 1.900 3.358 La
0.000 0.000 0.000 Y
3.290 1.900 1.343 Y

LiRh3, PBEsol geometry, DFT SCAN; space-group type = No. 44; total energy = -104.325 eV/cell; formation energy = -155 meV per atom
1.0
-0.441 1.434 -2.165
-0.654 -3.879 -2.436
-3.618 1.342 3.229
Rh Li
3 1
Cartesian
-0.546 -1.212 -2.294 Rh
-2.236 -1.127 -0.291 Rh
-2.223 1.532 -0.134 Rh
-0.647 -3.834 -2.408 Li

Sr3WF, PBEsol geometry, DFT SCAN; uncorrected formation energy = 0.579 eV/atom; space-group type = No. 221; total energy = -137.159 eV/cell
1.0
-5.161 2.376 0.347
-2.336 -4.778 -2.027
-0.555 -1.980 5.307
Sr W F
3 1 1
Cartesian
-1.168 -2.389 -1.013 Sr
-0.277 -0.990 2.654 Sr
-2.580 1.188 0.173 Sr
0.000 0.000 0.000 W
-4.026 -2.191 1.814 F

Number 1: volume 19.005 A^3/atom. Number 2: volume 26.429 A^3/atom. Number 3: volume 12.888 A^3/atom. Number 4: volume 19.226 A^3/atom. Number 5: volume 13.645 A^3/atom. Number 6: volume 12.419 A^3/atom. Number 7: volume 25.249 A^3/atom. Number 8: volume 29.250 A^3/atom. Number 9: volume 21.521 A^3/atom. Number 10: volume 27.034 A^3/atom. Number 11: volume 12.661 A^3/atom. Number 12: volume 21.327 A^3/atom. Number 13: volume 26.361 A^3/atom. Number 14: volume 24.577 A^3/atom. Number 15: volume 26.726 A^3/atom. Number 16: volume 12.585 A^3/atom. Number 17: volume 13.963 A^3/atom. Number 18: volume 15.952 A^3/atom. Number 19: volume 24.611 A^3/atom. Number 20: volume 19.039 A^3/atom. Number 21: volume 35.717 A^3/atom. Number 22: volume 35.817 A^3/atom. Number 23: volume 24.664 A^3/atom. Number 24: volume 36.299 A^3/atom. Number 25: volume 16.218 A^3/atom. Number 26: volume 15.759 A^3/atom. Number 27: volume 33.585 A^3/atom. Number 28: volume 13.011 A^3/atom. Number 29: volume 36.878 A^3/atom.